(1)
VASP calculation (PBE) on a geometry-optimized Pr3ZnHg2PdAu2 structure.

Geometry as extended XYZ:
```
9
Lattice="3.999 0.000 0.000 0.000 6.845 3.934 0.000 -6.845 3.934" Properties=species:S:1:pos:R:3 pbc="T T T"
Pr 0.000 0.000 0.000
Pr 0.000 -2.732 4.713
Pr 0.000 2.732 4.713
Zn 1.999 0.000 5.149
Hg 1.999 -1.714 2.163
Hg 1.999 1.714 2.163
Pd 0.000 0.000 3.399
Au 1.999 -4.629 3.090
Au 1.999 4.629 3.090
```

Summary:
Spin magnetization, μB per cell: 0.00
Energy of formation, eV/f.u.: -5.9
Energy, eV per atom: -3.7578
Space-group type: No. 38

---

(2)
VASP calculation (PBE) on a geometry-optimized DyY2Er2S7 structure.

Geometry as extended XYZ:
```
12
Lattice="6.388 -1.898 0.000 6.388 1.898 0.000 -2.911 0.000 11.203" Properties=species:S:1:pos:R:3 pbc="T T T"
Dy 0.000 0.000 0.000
Y 3.288 0.000 2.110
Y 6.576 0.000 9.093
Er 0.202 0.000 4.726
Er 9.662 0.000 6.477
S -1.773 0.000 8.777
S 1.446 0.000 7.230
S 1.593 0.000 10.627
S 4.932 0.000 5.602
S 8.271 0.000 0.576
S 8.418 0.000 3.973
S 11.637 0.000 2.426
```

Summary:
Spin magnetization, μB per cell: 0.00
Energy, eV per atom: -6.7057
Energy above the most stable polymorph in this dataset, eV/atom: 0.0000
Space-group type: No. 12